Computed, not measured: Th2Ga8Ni after structural relaxation at the PBE level of DFT.

abc: 4.391 4.391 11.377
angles: 90.00 90.00 90.00
Sites, in units of the cell vectors:
1 Th 0.000 0.000 0.196
2 Th 0.000 0.000 0.804
3 Ga 0.000 0.500 0.000
4 Ga 0.000 0.500 0.385
5 Ga 0.000 0.500 0.615
6 Ga 0.500 0.000 0.000
7 Ga 0.500 0.000 0.385
8 Ga 0.500 0.000 0.615
9 Ga 0.500 0.500 0.203
10 Ga 0.500 0.500 0.797
11 Ni 0.000 0.000 0.500

total moment	0.000	μB/cell
calculated volume	19.9	Å³ per atom
energy of formation	-43.7	kJ per mole of atoms